a.
DFT (meta-GGA SCAN) results for a PBEsol-optimized structure of CaCr.

## Properties
The calculation puts the density of states at the Fermi level at 1.54 states/eV/cell. The value obtained for the total magnetization is 4.9 μB per formula unit.

a = 3.7057 Å, b = 3.7057 Å, c = 3.7057 Å
α = 90.00°, β = 90.00°, γ = 90.00°
Space group Pm-3m (No. 221)
One atom of each set of equivalent atoms:
Ca  0.0000  0.0000  0.0000 (multiplicity 1)
Cr  0.5000  0.5000  0.5000 (multiplicity 1)

---

b.
DFT (meta-GGA SCAN) results for a PBEsol-optimized structure of CaCr.

## Properties
The calculation puts the density of states at the Fermi level at 7.97 states/eV/cell. The value obtained for the total magnetization is 0.1 μB per formula unit.

a = 12.9178 Å, b = 3.3230 Å, c = 7.1126 Å
α = 90.00°, β = 114.76°, γ = 90.00°
Space group Cm (No. 8)
One atom of each set of equivalent atoms:
Ca  0.0000  0.0000  0.0000 (multiplicity 2)
Ca  0.0240  0.0000  0.5372 (multiplicity 2)
Ca  0.2416  0.5000  0.4125 (multiplicity 2)
Cr  0.2092  0.5000  0.9314 (multiplicity 2)
Cr  0.2825  0.0000  0.8090 (multiplicity 2)
Cr  0.3292  0.0000  0.1218 (multiplicity 2)

---

Bottom line: a, by a margin of 19.1 kJ/mol of atoms.

---

a.
DFT (meta-GGA SCAN) results for a PBEsol-optimized structure of CaCrCu2.

## Properties
The calculation puts the density of states at the Fermi level at 3.31 states/eV/cell. The value obtained for the total magnetization is 4.3 μB per formula unit.

a = 3.9702 Å, b = 3.9702 Å, c = 8.2947 Å
α = 90.00°, β = 90.00°, γ = 90.00°
Space group I-4m2 (No. 119)
One atom of each set of equivalent atoms:
Ca  0.0000  0.0000  0.0000 (multiplicity 2)
Cr  0.0000  0.5000  0.2500 (multiplicity 2)
Cu  0.0000  0.0000  0.5000 (multiplicity 2)
Cu  0.0000  0.5000  0.7500 (multiplicity 2)

---

b.
DFT (meta-GGA SCAN) results for a PBEsol-optimized structure of CaCrCu2.

## Properties
The calculation puts the density of states at the Fermi level at 2.52 states/eV/cell. The value obtained for the total magnetization is 3.9 μB per formula unit.

a = 3.1908 Å, b = 3.1908 Å, c = 6.4582 Å
α = 90.00°, β = 90.00°, γ = 90.00°
Space group P4/mmm (No. 123)
One atom of each set of equivalent atoms:
Ca  0.0000  0.0000  0.0000 (multiplicity 1)
Cr  0.0000  0.0000  0.5000 (multiplicity 1)
Cu  0.5000  0.5000  0.3071 (multiplicity 2)

---

Bottom line: b, by a margin of 9.2 kJ/mol of atoms.

---

a.
DFT (meta-GGA SCAN) results for a PBEsol-optimized structure of Ca2CrFe.

## Properties
The calculation puts the density of states at the Fermi level at 13.04 states/eV/cell. The value obtained for the total magnetization is 8.3 μB per formula unit.

a = 7.0103 Å, b = 7.0103 Å, c = 7.0103 Å
α = 90.00°, β = 90.00°, γ = 90.00°
Space group F-43m (No. 216)
One atom of each set of equivalent atoms:
Ca  0.0000  0.0000  0.0000 (multiplicity 4)
Ca  0.2500  0.2500  0.2500 (multiplicity 4)
Cr  0.2500  0.2500  0.7500 (multiplicity 4)
Fe  0.0000  0.0000  0.5000 (multiplicity 4)

---

b.
DFT (meta-GGA SCAN) results for a PBEsol-optimized structure of Ca2CrFe.

## Properties
The calculation puts the density of states at the Fermi level at 3.42 states/eV/cell. The value obtained for the total magnetization is 7.7 μB per formula unit.

a = 3.3715 Å, b = 3.3715 Å, c = 8.0193 Å
α = 90.00°, β = 90.00°, γ = 90.00°
Space group P4/mmm (No. 123)
One atom of each set of equivalent atoms:
Ca  0.0000  0.0000  0.2291 (multiplicity 2)
Cr  0.5000  0.5000  0.5000 (multiplicity 1)
Fe  0.5000  0.5000  0.0000 (multiplicity 1)

---

c.
DFT (meta-GGA SCAN) results for a PBEsol-optimized structure of Ca2CrFe.

## Properties
The calculation puts the density of states at the Fermi level at 3.04 states/eV/cell. The value obtained for the total magnetization is 1.6 μB per formula unit.

a = 3.4788 Å, b = 5.0977 Å, c = 9.7191 Å
α = 90.00°, β = 90.00°, γ = 90.00°
Space group Imm2 (No. 44)
One atom of each set of equivalent atoms:
Ca  0.0000  0.0000  0.0000 (multiplicity 2)
Ca  0.0000  0.5000  0.2047 (multiplicity 2)
Cr  0.0000  0.5000  0.8011 (multiplicity 2)
Fe  0.0000  0.0000  0.4276 (multiplicity 2)

---

Bottom line: c, by a margin of 11.4 kJ/mol of atoms.

---

a.
DFT (meta-GGA SCAN) results for a PBEsol-optimized structure of Ca2LaCr.

## Properties
The calculation puts the density of states at the Fermi level at 7.87 states/eV/cell. The value obtained for the total magnetization is 3.8 μB per formula unit.

a = 3.7769 Å, b = 5.5238 Å, c = 11.6869 Å
α = 90.00°, β = 90.00°, γ = 90.00°
Space group Immm (No. 71)
One atom of each set of equivalent atoms:
Ca  0.0000  0.0000  0.2111 (multiplicity 4)
La  0.0000  0.5000  0.0000 (multiplicity 2)
Cr  0.0000  0.5000  0.5000 (multiplicity 2)

---

b.
DFT (meta-GGA SCAN) results for a PBEsol-optimized structure of Ca2LaCr.

## Properties
The calculation puts the density of states at the Fermi level at 7.91 states/eV/cell. The value obtained for the total magnetization is 4.9 μB per formula unit.

a = 6.7683 Å, b = 11.5159 Å, c = 3.4618 Å
α = 90.00°, β = 113.24°, γ = 90.00°
Space group C2/m (No. 12)
One atom of each set of equivalent atoms:
Ca  0.2500  0.2500  0.0000 (multiplicity 4)
La  0.0000  0.0000  0.5000 (multiplicity 2)
Cr  0.0000  0.5000  0.5000 (multiplicity 2)

---

c.
DFT (meta-GGA SCAN) results for a PBEsol-optimized structure of Ca2LaCr.

## Properties
The calculation puts the density of states at the Fermi level at 12.60 states/eV/cell. The value obtained for the total magnetization is 3.5 μB per formula unit.

a = 3.7296 Å, b = 3.7296 Å, c = 32.1574 Å
α = 90.00°, β = 90.00°, γ = 120.00°
Space group R3m (No. 160, hexagonal axes)
One atom of each set of equivalent atoms:
Ca  0.0000  0.0000  0.0000 (multiplicity 3)
Ca  0.0000  0.0000  0.2327 (multiplicity 3)
La  0.0000  0.0000  0.4637 (multiplicity 3)
Cr  0.0000  0.0000  0.7354 (multiplicity 3)

---

Bottom line: a, by a margin of 7.3 kJ/mol of atoms.

---

a.
DFT (meta-GGA SCAN) results for a PBEsol-optimized structure of CaLaCr2.

## Properties
The calculation puts the density of states at the Fermi level at 3.71 states/eV/cell. The value obtained for the total magnetization is 0.7 μB per formula unit.

a = 3.1856 Å, b = 3.1856 Å, c = 8.7151 Å
α = 90.00°, β = 90.00°, γ = 90.00°
Space group P4mm (No. 99)
One atom of each set of equivalent atoms:
Ca  0.0000  0.0000  0.0000 (multiplicity 1)
La  0.5000  0.5000  0.6196 (multiplicity 1)
Cr  0.0000  0.0000  0.3551 (multiplicity 1)
Cr  0.5000  0.5000  0.2584 (multiplicity 1)

---

b.
DFT (meta-GGA SCAN) results for a PBEsol-optimized structure of CaLaCr2.

## Properties
The calculation puts the density of states at the Fermi level at 15.56 states/eV/cell. The value obtained for the total magnetization is 9.5 μB per formula unit.

a = 7.1409 Å, b = 7.1409 Å, c = 7.1409 Å
α = 90.00°, β = 90.00°, γ = 90.00°
Space group F-43m (No. 216)
One atom of each set of equivalent atoms:
Ca  0.0000  0.0000  0.0000 (multiplicity 4)
La  0.2500  0.2500  0.7500 (multiplicity 4)
Cr  0.0000  0.0000  0.5000 (multiplicity 4)
Cr  0.2500  0.2500  0.2500 (multiplicity 4)

---

Bottom line: a, by a margin of 19.0 kJ/mol of atoms.

---

a.
DFT (meta-GGA SCAN) results for a PBEsol-optimized structure of Ca3MnCr.

## Properties
The calculation puts the density of states at the Fermi level at 5.56 states/eV/cell. The value obtained for the total magnetization is 7.4 μB per formula unit.

a = 5.3390 Å, b = 5.3390 Å, c = 5.3390 Å
α = 90.00°, β = 90.00°, γ = 90.00°
Space group Pm-3m (No. 221)
One atom of each set of equivalent atoms:
Ca  0.0000  0.0000  0.5000 (multiplicity 3)
Mn  0.0000  0.0000  0.0000 (multiplicity 1)
Cr  0.5000  0.5000  0.5000 (multiplicity 1)

---

b.
DFT (meta-GGA SCAN) results for a PBEsol-optimized structure of Ca3MnCr.

## Properties
The calculation puts the density of states at the Fermi level at 7.31 states/eV/cell. The value obtained for the total magnetization is 8.6 μB per formula unit.

a = 5.4895 Å, b = 5.4895 Å, c = 5.4895 Å
α = 90.00°, β = 90.00°, γ = 90.00°
Space group Pm-3m (No. 221)
One atom of each set of equivalent atoms:
Ca  0.0000  0.0000  0.5000 (multiplicity 3)
Mn  0.5000  0.5000  0.5000 (multiplicity 1)
Cr  0.0000  0.0000  0.0000 (multiplicity 1)

---

Bottom line: a, by a margin of 5.8 kJ/mol of atoms.